Entry 1:
# YZr3Cu

Crystalline YZr3Cu at its relaxed geometry (PBE-GGA, Alexandria via LeMat-Bulk).

relative energy among the computed polymorphs = 1258 meV per atom
crystal system = cubic
DFT formation energy = 1.64 eV/atom

abc: 5.1589 5.1589 5.1589
angles: 90.00 90.00 90.00
Sites, in units of the cell vectors:
Y1 0.0000 0.0000 0.0000
Cu1 0.5000 0.5000 0.5000
Zr1 0.0000 0.5000 0.0000
Zr2 0.0000 0.0000 0.5000
Zr3 0.5000 0.0000 0.0000

=====

Entry 2:
# CePrRh

Crystalline CePrRh at its relaxed geometry (PBE-GGA, Alexandria via LeMat-Bulk).

relative energy among the computed polymorphs = 71 meV per atom
crystal system = monoclinic
DFT formation energy = -0.39 eV/atom

abc: 6.0527 7.0475 7.9449
angles: 100.72 90.00 90.00
Sites, in units of the cell vectors:
Ce1 0.8838 0.3012 0.1221
Ce2 0.6162 0.8012 0.6221
Ce3 0.1162 0.6988 0.8779
Ce4 0.3838 0.1988 0.3779
Pr1 0.3864 0.1998 0.9003
Pr2 0.6136 0.8002 0.0997
Pr3 0.8864 0.3002 0.5997
Pr4 0.1136 0.6998 0.4003
Rh1 0.3902 0.4842 0.6692
Rh2 0.6098 0.5158 0.3308
Rh3 0.1098 0.9842 0.1692
Rh4 0.8902 0.0158 0.8308

=====

Entry 3:
# ErSc2In

Crystalline ErSc2In at its relaxed geometry (PBE-GGA, Alexandria via LeMat-Bulk).

relative energy among the computed polymorphs = 49 meV per atom
crystal system = tetragonal
DFT formation energy = -0.22 eV/atom

abc: 3.4046 3.4046 8.6762
angles: 90.00 90.00 90.00
Sites, in units of the cell vectors:
Sc1 0.0000 0.0000 0.7719
Sc2 0.0000 0.0000 0.2281
In1 0.5000 0.5000 0.0000
Er1 0.5000 0.5000 0.5000

=====

Entry 4:
# HfCo2Pd

Crystalline HfCo2Pd at its relaxed geometry (PBE-GGA, Alexandria via LeMat-Bulk).

crystal system = cubic
DFT formation energy = -0.19 eV/atom

abc: 4.3091 4.3091 4.3091
angles: 60.00 60.00 60.00
Sites, in units of the cell vectors:
Co1 0.2500 0.2500 0.2500
Co2 0.7500 0.7500 0.7500
Hf1 0.5000 0.5000 0.5000
Pd1 0.0000 0.0000 0.0000

=====

Entry 5:
# Tb4Pm7Tm

Crystalline Tb4Pm7Tm at its relaxed geometry (PBE-GGA, Alexandria via LeMat-Bulk).

relative energy among the computed polymorphs = 216 meV per atom
crystal system = monoclinic
DFT formation energy = 0.22 eV/atom

abc: 5.9790 9.7849 8.6264
angles: 60.71 69.72 72.21
Sites, in units of the cell vectors:
Tb1 0.5725 0.3020 0.5530
Tb2 0.4275 0.6980 0.4470
Tb3 0.6732 0.6106 0.0429
Tb4 0.3268 0.3894 0.9571
Pm1 0.7904 0.8788 0.5404
Pm2 0.2096 0.1212 0.4596
Pm3 0.0823 0.5590 0.2764
Pm4 0.9177 0.4410 0.7236
Pm5 0.2080 0.7716 0.8124
Pm6 0.5000 0.0000 0.0000
Pm7 0.7920 0.2284 0.1876
Tm1 0.0000 0.0000 0.0000

=====

Entry 6:
# SrLiGeCl2

Crystalline SrLiGeCl2 at its relaxed geometry (PBE-GGA, Alexandria via LeMat-Bulk).

crystal system = tetragonal
raw formation energy = -0.7462 eV per atom

abc: 5.5805 6.5702 5.5805
angles: 90.00 90.00 90.00
Sites, in units of the cell vectors:
Sr1 0.0000 0.0000 0.0000
Ge1 0.0000 0.5000 0.0000
Li1 0.5000 0.5000 0.5000
Cl1 0.0000 0.0000 0.5000
Cl2 0.5000 0.0000 0.0000